PBE+U MgCo2O4, optimized geometry; E above lowest polymorph = 0.057 eV/atom; SG = R3m, No. 160; total energy = -41.77 eV/f.u.
1.0
1.854 3.781 4.018
-2.020 -0.305 5.450
3.480 -1.789 4.309
Mg Co O
2 4 8
Direct
0.006 0.006 0.006
0.625 0.625 0.625
0.246 0.246 0.246
0.123 0.626 0.626
0.626 0.626 0.123
0.626 0.123 0.626
0.376 0.839 0.376
0.376 0.376 0.839
0.839 0.376 0.376
0.387 0.387 0.387
0.863 0.863 0.863
0.416 0.871 0.871
0.871 0.871 0.416
0.871 0.416 0.871